# ScNiMo2 PBE optimized geometry
# * calculated formation energy: 0.090 eV per atom
# * space group: Imm2
data_ScNiMo2
_cell_length_a 5.055
_cell_length_b 5.055
_cell_length_c 5.055
_cell_angle_alpha 141.85
_cell_angle_beta 125.90
_cell_angle_gamma 68.11
_space_group_name_H-M_alt 'P 1'
_space_group_IT_number 1
loop_
_space_group_symop_operation_xyz
'x,y,z'
loop_
_atom_site_label
_atom_site_type_symbol
_atom_site_fract_x
_atom_site_fract_y
_atom_site_fract_z
Sc1 Sc 0.254 0.754 0.500
Ni1 Ni 0.512 0.512 0.000
Mo1 Mo 0.982 0.982 0.000
Mo2 Mo 0.753 0.253 0.500



# ScNiMo2 PBE optimized geometry
# * calculated formation energy: 0.088 eV per atom
# * space group: Pm
data_ScNiMo2
_cell_length_a 4.302
_cell_length_b 2.749
_cell_length_c 5.454
_cell_angle_alpha 79.56
_cell_angle_beta 90.00
_cell_angle_gamma 90.00
_space_group_name_H-M_alt 'P 1'
_space_group_IT_number 1
loop_
_space_group_symop_operation_xyz
'x,y,z'
loop_
_atom_site_label
_atom_site_type_symbol
_atom_site_fract_x
_atom_site_fract_y
_atom_site_fract_z
Mo1 Mo 0.500 0.227 0.240
Mo2 Mo 0.000 0.035 0.021
Ni1 Ni 0.000 0.472 0.500
Sc1 Sc 0.500 0.766 0.739



# ScNiMo2 PBE optimized geometry
# * calculated formation energy: 0.296 eV per atom
# * space group: R3m
data_ScNiMo2
_cell_length_a 9.290
_cell_length_b 9.290
_cell_length_c 9.290
_cell_angle_alpha 17.58
_cell_angle_beta 17.58
_cell_angle_gamma 17.58
_space_group_name_H-M_alt 'P 1'
_space_group_IT_number 1
loop_
_space_group_symop_operation_xyz
'x,y,z'
loop_
_atom_site_label
_atom_site_type_symbol
_atom_site_fract_x
_atom_site_fract_y
_atom_site_fract_z
Mo1 Mo 0.244 0.244 0.244
Mo2 Mo 0.998 0.998 0.998
Sc1 Sc 0.756 0.756 0.756
Ni1 Ni 0.502 0.502 0.502



# ScNiMo3 PBE optimized geometry
# * calculated formation energy: 1.030 eV per atom
# * space group: Pm-3m
data_ScNiMo3
_cell_length_a 4.543
_cell_length_b 4.543
_cell_length_c 4.543
_cell_angle_alpha 90.00
_cell_angle_beta 90.00
_cell_angle_gamma 90.00
_space_group_name_H-M_alt 'P 1'
_space_group_IT_number 1
loop_
_space_group_symop_operation_xyz
'x,y,z'
loop_
_atom_site_label
_atom_site_type_symbol
_atom_site_fract_x
_atom_site_fract_y
_atom_site_fract_z
Mo1 Mo 0.500 0.000 0.000
Mo2 Mo 0.000 0.500 0.000
Mo3 Mo 0.000 0.000 0.500
Sc1 Sc 0.500 0.500 0.500
Ni1 Ni 0.000 0.000 0.000